[1]
First-principles (GGA-PBE) data for a relaxed structure of Li6AlTl2, as listed in Alexandria via LeMat-Bulk.

raw total energy	-21.3	eV for the cell shown
DOS(E_F)	0.476	states/eV per atom

a = 2.9754 Å, b = 8.2446 Å, c = 8.2445 Å
α = 120.00°, β = 90.00°, γ = 90.00°
Sites, in units of the cell vectors:
Li: 0.5000 0.6482 0.0000
Li: 0.5000 0.3517 0.3516
Li: 0.5000 0.0001 0.6484
Li: 0.0000 0.3005 0.0000
Li: 0.0000 0.6995 0.6995
Li: 0.0000 0.0000 0.3005
Al: 0.5000 0.0000 0.0000
Tl: 0.0000 0.3333 0.6666
Tl: 0.0000 0.6667 0.3334

=====

[2]
First-principles (GGA-PBE) data for a relaxed structure of LiTmAlTl, as listed in Alexandria via LeMat-Bulk.

raw total energy	-13.4	eV for the cell shown
DOS(E_F)	0.305	states/eV per atom

a = 5.0022 Å, b = 5.0022 Å, c = 5.0022 Å
α = 60.00°, β = 60.00°, γ = 60.00°
Sites, in units of the cell vectors:
Tl: 0.0000 0.0000 0.0000
Tm: 0.7500 0.7500 0.7500
Al: 0.5000 0.5000 0.5000
Li: 0.2500 0.2500 0.2500

=====

Q: What is the DOS(E_F) in the second record?
A: 0.305 states/eV per atom

=====

Please write out number 1 again, unchanged.
First-principles (GGA-PBE) data for a relaxed structure of Li6AlTl2, as listed in Alexandria via LeMat-Bulk.

raw total energy	-21.3	eV for the cell shown
DOS(E_F)	0.476	states/eV per atom

a = 2.9754 Å, b = 8.2446 Å, c = 8.2445 Å
α = 120.00°, β = 90.00°, γ = 90.00°
Sites, in units of the cell vectors:
Li: 0.5000 0.6482 0.0000
Li: 0.5000 0.3517 0.3516
Li: 0.5000 0.0001 0.6484
Li: 0.0000 0.3005 0.0000
Li: 0.0000 0.6995 0.6995
Li: 0.0000 0.0000 0.3005
Al: 0.5000 0.0000 0.0000
Tl: 0.0000 0.3333 0.6666
Tl: 0.0000 0.6667 0.3334

=====

Q: What is the DOS(E_F) in the first record?
A: 0.476 states/eV per atom